1.
Crystalline NaHf4Al2 at its relaxed geometry, computed with PBE-GGA.

Summary:
ρ: 8.198 g cm⁻³
Total energy: -0.4292 Ry per atom
Energy relative to the elements: 1.105 eV per atom

Lattice parameters (Å, degrees): 4.648 4.648 14.831 90.00 90.00 90.00
Space group I4/mmm (No. 139)
Inequivalent atoms, fractional coordinates:
Na (0.000, 0.000, 0.000) (multiplicity 2)
Hf (0.000, 0.000, 0.185) (multiplicity 4)
Hf (0.000, 0.500, 0.000) (multiplicity 4)
Al (0.000, 0.000, 0.374) (multiplicity 4)

---

2.
Crystalline Ho2Mn12Si7 at its relaxed geometry, computed with PBE-GGA.

Summary:
ρ: 6.827 g cm⁻³
Total energy: -0.5802 Ry per atom
Formation energy from raw total energies: -0.41 eV/atom

Lattice parameters (Å, degrees): 9.6673 9.6673 3.5631 90.00 90.00 120.00
Space group P-6 (No. 174)
Inequivalent atoms, fractional coordinates:
Ho (0.0000, 0.0000, 0.0000) (multiplicity 1)
Ho (0.3333, 0.6667, 0.5000) (multiplicity 1)
Mn (0.0483, 0.7637, 0.5000) (multiplicity 3)
Mn (0.1002, 0.3813, 0.0000) (multiplicity 3)
Mn (0.3879, 0.2122, 0.0000) (multiplicity 3)
Mn (0.5366, 0.1079, 0.5000) (multiplicity 3)
Si (0.0742, 0.6154, 0.0000) (multiplicity 3)
Si (0.2495, 0.0404, 0.5000) (multiplicity 3)
Si (0.6667, 0.3333, 0.0000) (multiplicity 1)

---

3.
Crystalline Ni3BPd at its relaxed geometry, computed with PBE-GGA.

Summary:
ρ: 7.722 g cm⁻³
Total energy: -0.4157 Ry per atom
Energy relative to the elements: 0.187 eV per atom
Offset from the most stable computed form: 0 meV/atom

Lattice parameters (Å, degrees): 4.378 4.378 13.166 90.00 90.00 90.00
Space group I-4m2 (No. 119)
Inequivalent atoms, fractional coordinates:
Ni (0.000, 0.000, 0.201) (multiplicity 4)
Ni (0.000, 0.250, 0.371) (multiplicity 8)
B (0.000, 0.000, 0.500) (multiplicity 2)
B (0.000, 0.500, 0.250) (multiplicity 2)
Pd (0.000, 0.500, 0.552) (multiplicity 4)

---

4.
Crystalline Tb8Pm5Sc at its relaxed geometry, computed with PBE-GGA.

Summary:
ρ: 7.318 g cm⁻³
Total energy: -0.3339 Ry per atom
Energy relative to the elements: 0.251 eV per atom

Lattice parameters (Å, degrees): 9.604 9.604 10.044 90.00 90.00 90.00
Space group I-4 (No. 82)
Inequivalent atoms, fractional coordinates:
Tb (0.069, 0.327, 0.409) (multiplicity 8)
Tb (0.085, 0.185, 0.747) (multiplicity 8)
Pm (0.000, 0.000, 0.500) (multiplicity 2)
Pm (0.106, 0.211, 0.079) (multiplicity 8)
Sc (0.000, 0.500, 0.750) (multiplicity 2)

---

5.
Crystalline Pm6IrAu2 at its relaxed geometry, computed with PBE-GGA.

Summary:
ρ: 8.860 g cm⁻³
Total energy: -0.3970 Ry per atom
Energy relative to the elements: -0.522 eV per atom

Lattice parameters (Å, degrees): 6.913 7.520 12.252 90.00 121.03 90.00
Space group P2_1/c (No. 14)
Inequivalent atoms, fractional coordinates:
Pm (0.109, 0.033, 0.255) (multiplicity 4)
Pm (0.245, 0.681, 0.070) (multiplicity 4)
Pm (0.389, 0.190, 0.064) (multiplicity 4)
Ir (0.000, 0.000, 0.000) (multiplicity 2)
Au (0.321, 0.109, 0.766) (multiplicity 4)

---

6.
Crystalline RbTlZnGeSe at its relaxed geometry, computed with PBE-GGA.

Summary:
ρ: 5.679 g cm⁻³
Total energy: -0.2059 Ry per atom
Offset from the most stable computed form: 63 meV/atom
Formation energy from raw total energies: -0.26 eV/atom

Lattice parameters (Å, degrees): 3.987 4.250 8.745 90.00 90.00 90.00
Space group Pmm2 (No. 25)
Inequivalent atoms, fractional coordinates:
Rb (0.000, 0.000, 0.000) (multiplicity 1)
Tl (0.500, 0.500, 0.651) (multiplicity 1)
Zn (0.000, 0.500, 0.359) (multiplicity 1)
Ge (0.000, 0.000, 0.556) (multiplicity 1)
Se (0.500, 0.500, 0.195) (multiplicity 1)

---

7.
Crystalline TaCu2PtF at its relaxed geometry, computed with PBE-GGA.

Summary:
ρ: 8.217 g cm⁻³
Total energy: -0.3600 Ry per atom
Formation energy from raw total energies: 0.69 eV/atom

Lattice parameters (Å, degrees): 4.689 4.689 4.800 90.00 90.00 90.00
Space group P4/mmm (No. 123)
Inequivalent atoms, fractional coordinates:
Ta (0.000, 0.000, 0.000) (multiplicity 1)
Cu (0.000, 0.500, 0.500) (multiplicity 2)
Pt (0.000, 0.000, 0.500) (multiplicity 1)
F (0.500, 0.500, 0.000) (multiplicity 1)

---

8.
Crystalline MnCr2Te at its relaxed geometry, computed with PBE-GGA.

Summary:
ρ: 8.366 g cm⁻³
Total energy: -0.5508 Ry per atom
Formation energy from raw total energies: 0.40 eV/atom

Lattice parameters (Å, degrees): 3.831 3.831 3.874 90.00 90.00 90.00
Space group P4/mmm (No. 123)
Inequivalent atoms, fractional coordinates:
Mn (0.000, 0.000, 0.000) (multiplicity 1)
Cr (0.000, 0.500, 0.500) (multiplicity 2)
Te (0.500, 0.500, 0.000) (multiplicity 1)

---

9.
Crystalline NbHgGeBr2 at its relaxed geometry, computed with PBE-GGA.

Summary:
ρ: 6.199 g cm⁻³
Total energy: -0.2689 Ry per atom
Formation energy from raw total energies: 0.01 eV/atom

Lattice parameters (Å, degrees): 5.156 5.156 5.299 90.00 90.00 90.00
Space group P4/mmm (No. 123)
Inequivalent atoms, fractional coordinates:
Nb (0.000, 0.000, 0.000) (multiplicity 1)
Hg (0.500, 0.500, 0.500) (multiplicity 1)
Ge (0.000, 0.000, 0.500) (multiplicity 1)
Br (0.000, 0.500, 0.000) (multiplicity 2)

---

10.
Crystalline BaMnRu at its relaxed geometry, computed with PBE-GGA.

Summary:
ρ: 6.337 g cm⁻³
Total energy: -0.4335 Ry per atom
Energy relative to the elements: 0.891 eV per atom
Offset from the most stable computed form: 377 meV/atom

Lattice parameters (Å, degrees): 6.749 6.749 6.749 90.00 90.00 90.00
Space group F-43m (No. 216)
Inequivalent atoms, fractional coordinates:
Ba (0.000, 0.000, 0.000) (multiplicity 4)
Mn (0.000, 0.000, 0.500) (multiplicity 4)
Ru (0.250, 0.250, 0.250) (multiplicity 4)

---

11.
Crystalline LiDyZr2S4 at its relaxed geometry, computed with PBE-GGA.

Summary:
ρ: 5.338 g cm⁻³
Total energy: -0.4881 Ry per atom
Formation energy from raw total energies: -1.63 eV/atom

Lattice parameters (Å, degrees): 6.362 3.695 6.689 90.00 108.21 90.00
Space group P2/m (No. 10)
Inequivalent atoms, fractional coordinates:
Li (0.000, 0.000, 0.000) (multiplicity 1)
Dy (0.500, 0.500, 0.000) (multiplicity 1)
Zr (0.000, 0.500, 0.500) (multiplicity 1)
Zr (0.500, 0.000, 0.500) (multiplicity 1)
S (0.238, 0.000, 0.748) (multiplicity 2)
S (0.243, 0.500, 0.251) (multiplicity 2)

---

12.
Crystalline Nd5Zn4Rh at its relaxed geometry, computed with PBE-GGA.

Summary:
ρ: 7.355 g cm⁻³
Total energy: -0.2943 Ry per atom
Energy relative to the elements: -0.376 eV per atom

Lattice parameters (Å, degrees): 3.664 3.664 18.260 90.00 90.00 90.00
Space group P4/mmm (No. 123)
Inequivalent atoms, fractional coordinates:
Nd (0.000, 0.000, 0.000) (multiplicity 1)
Nd (0.000, 0.000, 0.203) (multiplicity 2)
Nd (0.000, 0.000, 0.408) (multiplicity 2)
Zn (0.500, 0.500, 0.102) (multiplicity 2)
Zn (0.500, 0.500, 0.303) (multiplicity 2)
Rh (0.500, 0.500, 0.500) (multiplicity 1)

---

13.
Crystalline Ca2In2F at its relaxed geometry, computed with PBE-GGA.

Summary:
ρ: 4.209 g cm⁻³
Total energy: -0.2508 Ry per atom
Formation energy from raw total energies: -1.14 eV/atom

Lattice parameters (Å, degrees): 6.796 6.796 5.616 90.00 90.00 90.00
Space group P4/mbm (No. 127)
Inequivalent atoms, fractional coordinates:
Ca (0.182, 0.318, 0.000) (multiplicity 4)
In (0.152, 0.652, 0.500) (multiplicity 4)
F (0.000, 0.000, 0.000) (multiplicity 2)

---

14.
Crystalline KRe2Pd at its relaxed geometry, computed with PBE-GGA.

Summary:
ρ: 12.723 g cm⁻³
Total energy: -0.4277 Ry per atom
Energy relative to the elements: 1.977 eV per atom
Offset from the most stable computed form: 427 meV/atom

Lattice parameters (Å, degrees): 6.466 6.466 6.466 90.00 90.00 90.00
Space group Fm-3m (No. 225)
Inequivalent atoms, fractional coordinates:
K (0.000, 0.000, 0.000) (multiplicity 4)
Re (0.250, 0.250, 0.250) (multiplicity 8)
Pd (0.000, 0.000, 0.500) (multiplicity 4)

---

15.
Crystalline LaTb2Dy3Y6 at its relaxed geometry, computed with PBE-GGA.

Summary:
ρ: 6.322 g cm⁻³
Total energy: -0.4075 Ry per atom
Energy relative to the elements: 0.021 eV per atom

Lattice parameters (Å, degrees): 6.200 10.731 11.848 90.00 100.00 90.00
Space group C2/m (No. 12)
Inequivalent atoms, fractional coordinates:
La (0.000, 0.000, 0.000) (multiplicity 2)
Tb (0.000, 0.333, 0.000) (multiplicity 4)
Dy (0.000, 0.167, 0.500) (multiplicity 4)
Dy (0.000, 0.500, 0.500) (multiplicity 2)
Y (0.248, 0.333, 0.747) (multiplicity 8)
Y (0.250, 0.000, 0.747) (multiplicity 4)

---

16.
Crystalline TcNiS2Cl at its relaxed geometry, computed with PBE-GGA.

Summary:
ρ: 4.094 g cm⁻³
Total energy: -0.3450 Ry per atom
Offset from the most stable computed form: 0 meV/atom
Formation energy from raw total energies: 0.56 eV/atom

Lattice parameters (Å, degrees): 4.519 4.519 5.090 90.00 90.00 90.00
Space group P4/mmm (No. 123)
Inequivalent atoms, fractional coordinates:
Tc (0.000, 0.000, 0.000) (multiplicity 1)
Ni (0.500, 0.500, 0.500) (multiplicity 1)
S (0.000, 0.500, 0.000) (multiplicity 2)
Cl (0.000, 0.000, 0.500) (multiplicity 1)

---

17.
Crystalline Nb2TcPt at its relaxed geometry, computed with PBE-GGA.

Summary:
ρ: 12.033 g cm⁻³
Total energy: -0.6972 Ry per atom
Energy relative to the elements: -0.350 eV per atom
Offset from the most stable computed form: 0 meV/atom

Lattice parameters (Å, degrees): 4.188 4.188 3.767 90.00 90.00 90.00
Space group P4/mmm (No. 123)
Inequivalent atoms, fractional coordinates:
Nb (0.000, 0.500, 0.000) (multiplicity 2)
Tc (0.000, 0.000, 0.500) (multiplicity 1)
Pt (0.500, 0.500, 0.500) (multiplicity 1)

---

18.
Crystalline Ga2BiRu2 at its relaxed geometry, computed with PBE-GGA.

Summary:
ρ: 9.622 g cm⁻³
Total energy: -0.4074 Ry per atom
Energy relative to the elements: 0.154 eV per atom
Offset from the most stable computed form: 124 meV/atom

Lattice parameters (Å, degrees): 4.543 4.543 9.208 90.00 90.00 90.00
Space group I4/mmm (No. 139)
Inequivalent atoms, fractional coordinates:
Ga (0.000, 0.000, 0.147) (multiplicity 4)
Bi (0.000, 0.000, 0.500) (multiplicity 2)
Ru (0.000, 0.500, 0.250) (multiplicity 4)

---

19.
Crystalline NdTm5 at its relaxed geometry, computed with PBE-GGA.

Summary:
ρ: 8.894 g cm⁻³
Total energy: -0.3304 Ry per atom
Energy relative to the elements: 0.026 eV per atom
Offset from the most stable computed form: 0 meV/atom

Lattice parameters (Å, degrees): 6.094 10.539 6.095 90.00 109.38 90.00
Space group P2_1/m (No. 11)
Inequivalent atoms, fractional coordinates:
Nd (0.250, 0.250, 0.001) (multiplicity 2)
Tm (0.250, 0.083, 0.500) (multiplicity 4)
Tm (0.250, 0.583, 0.000) (multiplicity 4)
Tm (0.250, 0.750, 0.500) (multiplicity 2)

---

20.
Crystalline Ba2CoIr at its relaxed geometry, computed with PBE-GGA.

Summary:
ρ: 6.000 g cm⁻³
Total energy: -0.3569 Ry per atom
Energy relative to the elements: 0.097 eV per atom
Offset from the most stable computed form: 145 meV/atom

Lattice parameters (Å, degrees): 4.263 4.532 15.065 90.00 90.00 90.00
Space group Imm2 (No. 44)
Inequivalent atoms, fractional coordinates:
Ba (0.000, 0.000, 0.000) (multiplicity 2)
Ba (0.000, 0.500, 0.264) (multiplicity 2)
Co (0.000, 0.500, 0.852) (multiplicity 2)
Ir (0.000, 0.000, 0.409) (multiplicity 2)

---

21.
Crystalline SrZnOs2 at its relaxed geometry, computed with PBE-GGA.

Summary:
ρ: 11.532 g cm⁻³
Total energy: -0.4152 Ry per atom
Energy relative to the elements: 0.705 eV per atom

Lattice parameters (Å, degrees): 2.806 4.563 6.119 90.00 101.28 90.00
Space group P2/m (No. 10)
Inequivalent atoms, fractional coordinates:
Sr (0.000, 0.000, 0.000) (multiplicity 1)
Zn (0.500, 0.000, 0.500) (multiplicity 1)
Os (0.317, 0.500, 0.679) (multiplicity 2)

---

22.
Crystalline CsB3Ir at its relaxed geometry, computed with PBE-GGA.

Summary:
ρ: 7.511 g cm⁻³
Total energy: -0.3767 Ry per atom
Energy relative to the elements: 0.825 eV per atom
Offset from the most stable computed form: 0 meV/atom

Lattice parameters (Å, degrees): 4.292 4.292 4.292 90.00 90.00 90.00
Space group Pm-3m (No. 221)
Inequivalent atoms, fractional coordinates:
Cs (0.000, 0.000, 0.000) (multiplicity 1)
B (0.000, 0.500, 0.500) (multiplicity 3)
Ir (0.500, 0.500, 0.500) (multiplicity 1)